This record from Alexandria via LeMat-Bulk describes CoRu2Cl after structural relaxation. The functional is PBE-GGA.

## Properties
Its formation energy (no corrections) is 0.514 eV/atom. The density of states at the Fermi level is 12.29 states/eV/cell. The calculation puts the offset from the most stable computed form at 0.1592 eV per atom.

```
data_CoRu2Cl
_symmetry_space_group_name_H-M 'R -3 m'
_symmetry_Int_Tables_number 166
_symmetry_space_group_name_Hall '-R 3 2"'
_cell_length_a 2.8022
_cell_length_b 2.8022
_cell_length_c 24.3723
_cell_angle_alpha 90.00
_cell_angle_beta 90.00
_cell_angle_gamma 120.00
loop_
_atom_site_label
_atom_site_type_symbol
_atom_site_fract_x
_atom_site_fract_y
_atom_site_fract_z
Co1 Co 0.0000 0.0000 0.0000
Ru1 Ru 0.0000 0.0000 0.2519
Cl1 Cl 0.0000 0.0000 0.5000
```